<one>
## PmPr7Sm12 (PBE)

Data for a relaxed structure of PmPr7Sm12.

a b c (Å): 8.928 8.928 8.928
angles (deg): 86.89 86.89 86.89
Positions (direct):
1 Pm 0.000 0.000 0.000
2 Pr 0.077 0.397 0.153
3 Pr 0.153 0.077 0.397
4 Pr 0.397 0.153 0.077
5 Pr 0.500 0.500 0.500
6 Pr 0.603 0.847 0.923
7 Pr 0.847 0.923 0.603
8 Pr 0.923 0.603 0.847
9 Sm 0.134 0.618 0.493
10 Sm 0.147 0.276 0.746
11 Sm 0.254 0.853 0.724
12 Sm 0.276 0.746 0.147
13 Sm 0.382 0.507 0.866
14 Sm 0.493 0.134 0.618
15 Sm 0.507 0.866 0.382
16 Sm 0.618 0.493 0.134
17 Sm 0.724 0.254 0.853
18 Sm 0.746 0.147 0.276
19 Sm 0.853 0.724 0.254
20 Sm 0.866 0.382 0.507

Output
Symmetry: No. 148
Total moment (μB/f.u.): 0.0
V (Å³/atom): 35.43


<two>
## PmPr7Sm12 (PBE)

Data for a relaxed structure of PmPr7Sm12.

a b c (Å): 10.029 10.029 10.029
angles (deg): 109.47 109.47 109.47
Positions (direct):
1 Pm 0.000 0.000 0.000
2 Pr 0.000 0.000 0.500
3 Pr 0.000 0.500 0.000
4 Pr 0.000 0.500 0.500
5 Pr 0.500 0.000 0.000
6 Pr 0.500 0.000 0.500
7 Pr 0.500 0.500 0.000
8 Pr 0.500 0.500 0.500
9 Sm 0.000 0.249 0.751
10 Sm 0.000 0.751 0.249
11 Sm 0.249 0.000 0.751
12 Sm 0.249 0.249 0.498
13 Sm 0.249 0.498 0.249
14 Sm 0.249 0.751 0.000
15 Sm 0.498 0.249 0.249
16 Sm 0.502 0.751 0.751
17 Sm 0.751 0.000 0.249
18 Sm 0.751 0.249 0.000
19 Sm 0.751 0.502 0.751
20 Sm 0.751 0.751 0.502

Output
Symmetry: No. 229
Total moment (μB/f.u.): 0.0
V (Å³/atom): 38.82


Most stable one: <one>, least stable one: <two>.


<one>
## PmPr5Sm4 (PBE)

Data for a relaxed structure of PmPr5Sm4.

a b c (Å): 14.559 14.559 6.994
angles (deg): 97.24 97.24 13.94
Positions (direct):
1 Pm 0.000 0.000 0.000
2 Pr 0.000 0.000 0.500
3 Pr 0.295 0.295 0.895
4 Pr 0.300 0.300 0.402
5 Pr 0.700 0.700 0.598
6 Pr 0.705 0.705 0.105
7 Sm 0.107 0.107 0.812
8 Sm 0.406 0.406 0.703
9 Sm 0.594 0.594 0.297
10 Sm 0.893 0.893 0.188

Output
Symmetry: No. 12
Total moment (μB/f.u.): 0.0
V (Å³/atom): 35.43


<two>
## PmPr5Sm4 (PBE)

Data for a relaxed structure of PmPr5Sm4.

a b c (Å): 8.155 8.155 8.155
angles (deg): 98.59 98.59 134.52
Positions (direct):
1 Pm 0.000 0.000 0.000
2 Pr 0.462 0.462 0.000
3 Pr 0.545 0.545 0.621
4 Pr 0.545 0.925 0.000
5 Pr 0.925 0.545 0.000
6 Pr 0.925 0.925 0.379
7 Sm 0.217 0.543 0.326
8 Sm 0.217 0.890 0.674
9 Sm 0.543 0.217 0.326
10 Sm 0.890 0.217 0.674

Output
Symmetry: No. 107
Total moment (μB/f.u.): 0.0
V (Å³/atom): 35.66


Most stable one: <one>, least stable one: <two>.


<one>
## Pm6Pr2Sm (PBE)

Data for a relaxed structure of Pm6Pr2Sm.

a b c (Å): 6.342 6.346 8.194
angles (deg): 82.65 75.03 80.38
Positions (direct):
1 Pm 0.111 0.223 0.056
2 Pm 0.221 0.445 0.611
3 Pm 0.333 0.667 0.167
4 Pm 0.667 0.333 0.833
5 Pm 0.779 0.555 0.389
6 Pm 0.889 0.777 0.944
7 Pr 0.444 0.889 0.722
8 Pr 0.556 0.111 0.278
9 Sm 0.000 0.000 0.500

Output
Symmetry: No. 2
Total moment (μB/f.u.): 0.0
V (Å³/atom): 34.76


<two>
## Pm6Pr2Sm (PBE)

Data for a relaxed structure of Pm6Pr2Sm.

a b c (Å): 10.291 10.291 6.263
angles (deg): 95.32 95.32 70.54
Positions (direct):
1 Pm 0.091 0.813 0.985
2 Pm 0.151 0.425 0.149
3 Pm 0.187 0.909 0.515
4 Pm 0.245 0.522 0.681
5 Pm 0.425 0.151 0.649
6 Pm 0.478 0.755 0.819
7 Pm 0.522 0.245 0.181
8 Pm 0.575 0.849 0.351
9 Pm 0.755 0.478 0.319
10 Pm 0.813 0.091 0.485
11 Pm 0.849 0.575 0.851
12 Pm 0.909 0.187 0.015
13 Pr 0.066 0.268 0.580
14 Pr 0.268 0.066 0.080
15 Pr 0.732 0.934 0.920
16 Pr 0.934 0.732 0.420
17 Sm 0.400 0.600 0.250
18 Sm 0.600 0.400 0.750

Output
Symmetry: No. 15
Total moment (μB/f.u.): 0.0
V (Å³/atom): 34.52


Most stable one: <one>, least stable one: <two>.


<one>
## Pm3PrSm2 (PBE)

Data for a relaxed structure of Pm3PrSm2.

a b c (Å): 9.327 9.327 6.671
angles (deg): 102.99 102.99 21.61
Positions (direct):
1 Pm 0.000 0.000 0.000
2 Pm 0.172 0.172 0.357
3 Pm 0.828 0.828 0.643
4 Pr 0.000 0.000 0.500
5 Sm 0.337 0.337 0.146
6 Sm 0.663 0.663 0.854

Output
Symmetry: No. 12
Total moment (μB/f.u.): 0.0
V (Å³/atom): 34.67


<two>
## Pm3PrSm2 (PBE)

Data for a relaxed structure of Pm3PrSm2.

a b c (Å): 7.744 7.744 6.832
angles (deg): 90.00 90.00 90.06
Positions (direct):
1 Pm 0.097 0.903 0.750
2 Pm 0.249 0.249 0.000
3 Pm 0.249 0.249 0.500
4 Pm 0.751 0.751 0.000
5 Pm 0.751 0.751 0.500
6 Pm 0.903 0.097 0.250
7 Pr 0.399 0.601 0.750
8 Pr 0.601 0.399 0.250
9 Sm 0.095 0.596 0.250
10 Sm 0.404 0.905 0.250
11 Sm 0.596 0.095 0.750
12 Sm 0.905 0.404 0.750

Output
Symmetry: No. 63
Total moment (μB/f.u.): 0.0
V (Å³/atom): 34.14


Most stable one: <one>, least stable one: <two>.


<one>
## Pm5PrSm4 (PBE)

Data for a relaxed structure of Pm5PrSm4.

a b c (Å): 14.484 14.484 6.936
angles (deg): 97.29 97.29 13.91
Positions (direct):
1 Pm 0.000 0.000 0.000
2 Pm 0.294 0.294 0.397
3 Pm 0.298 0.298 0.900
4 Pm 0.702 0.702 0.100
5 Pm 0.706 0.706 0.603
6 Pr 0.000 0.000 0.500
7 Sm 0.108 0.108 0.307
8 Sm 0.405 0.405 0.199
9 Sm 0.595 0.595 0.801
10 Sm 0.892 0.892 0.693

Output
Symmetry: No. 12
Total moment (μB/f.u.): 0.0
V (Å³/atom): 34.69


<two>
## Pm5PrSm4 (PBE)

Data for a relaxed structure of Pm5PrSm4.

a b c (Å): 8.127 8.127 8.127
angles (deg): 98.42 98.42 135.00
Positions (direct):
1 Pm 0.000 0.000 0.000
2 Pm 0.546 0.547 0.621
3 Pm 0.547 0.926 0.001
4 Pm 0.926 0.546 0.999
5 Pm 0.926 0.926 0.379
6 Pr 0.465 0.465 0.000
7 Sm 0.218 0.545 0.326
8 Sm 0.219 0.892 0.674
9 Sm 0.545 0.219 0.327
10 Sm 0.892 0.218 0.673

Output
Symmetry: No. 79
Total moment (μB/f.u.): 0.0
V (Å³/atom): 35.07


Most stable one: <one>, least stable one: <two>.


<one>
## Pm5PrSm (PBE)

Data for a relaxed structure of Pm5PrSm.

a b c (Å): 7.814 7.814 7.814
angles (deg): 118.00 81.81 132.29
Positions (direct):
1 Pm 0.000 0.000 0.000
2 Pm 0.014 0.264 0.751
3 Pm 0.264 0.584 0.321
4 Pm 0.264 0.943 0.679
5 Pm 0.513 0.264 0.249
6 Pr 0.533 0.533 0.000
7 Sm 0.764 0.264 0.500

Output
Symmetry: No. 44
Total moment (μB/f.u.): 0.0
V (Å³/atom): 42.92


<two>
## Pm5PrSm (PBE)

Data for a relaxed structure of Pm5PrSm.

a b c (Å): 6.961 6.961 12.442
angles (deg): 108.25 108.25 60.05
Positions (direct):
1 Pm 0.090 0.910 0.750
2 Pm 0.091 0.346 0.749
3 Pm 0.153 0.692 0.000
4 Pm 0.308 0.847 0.500
5 Pm 0.346 0.091 0.249
6 Pm 0.654 0.909 0.751
7 Pm 0.692 0.153 0.500
8 Pm 0.847 0.308 0.000
9 Pm 0.909 0.654 0.251
10 Pm 0.910 0.090 0.250
11 Pr 0.471 0.529 0.250
12 Pr 0.529 0.471 0.750
13 Sm 0.000 0.500 0.500
14 Sm 0.500 0.000 0.000

Output
Symmetry: No. 15
Total moment (μB/f.u.): 0.0
V (Å³/atom): 34.79


Most stable one: <two>, least stable one: <one>.


<one>
## Pm2Pr8Sm (PBE)

Data for a relaxed structure of Pm2Pr8Sm.

a b c (Å): 9.236 9.236 6.836
angles (deg): 99.67 99.67 43.93
Positions (direct):
1 Pm 0.198 0.198 0.309
2 Pm 0.802 0.802 0.691
3 Pr 0.175 0.651 0.093
4 Pr 0.245 0.245 0.819
5 Pr 0.349 0.825 0.907
6 Pr 0.407 0.407 0.585
7 Pr 0.593 0.593 0.415
8 Pr 0.651 0.175 0.093
9 Pr 0.755 0.755 0.181
10 Pr 0.825 0.349 0.907
11 Sm 0.000 0.000 0.500

Output
Symmetry: No. 12
Total moment (μB/f.u.): 0.0
V (Å³/atom): 36.17


<two>
## Pm2Pr8Sm (PBE)

Data for a relaxed structure of Pm2Pr8Sm.

a b c (Å): 9.763 9.763 8.272
angles (deg): 104.72 104.72 31.06
Positions (direct):
1 Pm 0.227 0.227 0.135
2 Pm 0.773 0.773 0.865
3 Pr 0.046 0.046 0.228
4 Pr 0.137 0.137 0.683
5 Pr 0.318 0.318 0.590
6 Pr 0.409 0.409 0.046
7 Pr 0.591 0.591 0.954
8 Pr 0.682 0.682 0.410
9 Pr 0.863 0.863 0.317
10 Pr 0.954 0.954 0.772
11 Sm 0.500 0.500 0.500

Output
Symmetry: No. 12
Total moment (μB/f.u.): 0.0
V (Å³/atom): 35.67


Most stable one: <two>, least stable one: <one>.


<one>
## Pm4Pr3Sm (PBE)

Data for a relaxed structure of Pm4Pr3Sm.

a b c (Å): 11.907 7.407 6.405
angles (deg): 90.00 90.00 90.00
Positions (direct):
1 Pm 0.000 0.123 0.000
2 Pm 0.000 0.876 0.501
3 Pm 0.249 0.124 0.332
4 Pm 0.251 0.876 0.832
5 Pm 0.500 0.124 0.001
6 Pm 0.500 0.877 0.500
7 Pm 0.749 0.876 0.832
8 Pm 0.751 0.124 0.332
9 Pr 0.000 0.626 0.000
10 Pr 0.250 0.374 0.833
11 Pr 0.250 0.626 0.333
12 Pr 0.500 0.374 0.500
13 Pr 0.750 0.374 0.833
14 Pr 0.750 0.626 0.333
15 Sm 0.000 0.373 0.499
16 Sm 0.500 0.627 0.999

Output
Symmetry: No. 31
Total moment (μB/f.u.): 0.0
V (Å³/atom): 35.31


<two>
## Pm4Pr3Sm (PBE)

Data for a relaxed structure of Pm4Pr3Sm.

a b c (Å): 10.388 7.339 7.339
angles (deg): 90.00 90.00 90.00
Positions (direct):
1 Pm 0.000 0.000 0.000
2 Pm 0.000 0.500 0.500
3 Pm 0.250 0.249 0.250
4 Pm 0.250 0.751 0.750
5 Pm 0.500 0.000 0.500
6 Pm 0.500 0.500 0.000
7 Pm 0.750 0.249 0.250
8 Pm 0.750 0.751 0.750
9 Pr 0.000 0.500 0.000
10 Pr 0.250 0.249 0.750
11 Pr 0.250 0.751 0.250
12 Pr 0.500 0.500 0.500
13 Pr 0.750 0.249 0.750
14 Pr 0.750 0.751 0.250
15 Sm 0.000 0.000 0.500
16 Sm 0.500 0.000 0.000

Output
Symmetry: No. 53
Total moment (μB/f.u.): 0.0
V (Å³/atom): 34.97


Most stable one: <two>, least stable one: <one>.


<one>
## PmPr5Sm3 (PBE)

Data for a relaxed structure of PmPr5Sm3.

a b c (Å): 9.633 9.633 9.715
angles (deg): 103.94 103.94 51.33
Positions (direct):
1 Pm 0.124 0.124 0.335
2 Pm 0.876 0.876 0.665
3 Pr 0.126 0.550 0.924
4 Pr 0.305 0.305 0.584
5 Pr 0.323 0.677 0.500
6 Pr 0.450 0.874 0.076
7 Pr 0.497 0.497 0.826
8 Pr 0.503 0.503 0.174
9 Pr 0.550 0.126 0.924
10 Pr 0.677 0.323 0.500
11 Pr 0.695 0.695 0.416
12 Pr 0.874 0.450 0.076
13 Sm 0.000 0.000 0.000
14 Sm 0.000 0.000 0.500
15 Sm 0.150 0.150 0.786
16 Sm 0.311 0.311 0.232
17 Sm 0.689 0.689 0.768
18 Sm 0.850 0.850 0.214

Output
Symmetry: No. 12
Total moment (μB/f.u.): 0.0
V (Å³/atom): 37.68


<two>
## PmPr5Sm3 (PBE)

Data for a relaxed structure of PmPr5Sm3.

a b c (Å): 10.840 10.840 11.728
angles (deg): 120.60 120.60 34.03
Positions (direct):
1 Pm 0.104 0.896 0.750
2 Pm 0.896 0.104 0.250
3 Pr 0.014 0.629 0.164
4 Pr 0.174 0.543 0.844
5 Pr 0.371 0.986 0.336
6 Pr 0.413 0.587 0.250
7 Pr 0.457 0.826 0.656
8 Pr 0.543 0.174 0.344
9 Pr 0.587 0.413 0.750
10 Pr 0.629 0.014 0.664
11 Pr 0.826 0.457 0.156
12 Pr 0.986 0.371 0.836
13 Sm 0.000 0.000 0.000
14 Sm 0.000 0.000 0.500
15 Sm 0.053 0.593 0.474
16 Sm 0.407 0.947 0.026
17 Sm 0.593 0.053 0.974
18 Sm 0.947 0.407 0.526

Output
Symmetry: No. 15
Total moment (μB/f.u.): 0.0
V (Å³/atom): 36.27


Most stable one: <two>, least stable one: <one>.